Density functional theory data (GGA-PBE) for MgAlSi after structural relaxation.

Cell: 4.0212 4.0212 6.7713 Å, 90.00 90.00 90.00°
Sites, in units of the cell vectors:
Al 0.5000 0.5000 0.0000
Al 0.0000 0.0000 0.0000
Mg 0.5000 0.0000 0.6449
Mg 0.0000 0.5000 0.3551
Si 0.0000 0.5000 0.7574
Si 0.5000 0.0000 0.2426

## Properties
space group	P4/nmm, No. 129
energy above the most stable polymorph in this dataset	2.4	kJ per mole of atoms
volume	18.2	A^3/atom